Entry 1:
Ba2MgTl3Hg4: optimized geometry, PBE.

Cell and atoms, written as CIF:
```
data_Ba2MgTl3Hg4
_chemical_formula_sum 'Ba2 Mg1 Tl3 Hg4'
_cell_length_a 4.988
_cell_length_b 4.988
_cell_length_c 12.579
_cell_angle_alpha 90.00
_cell_angle_beta 90.00
_cell_angle_gamma 90.00
_space_group_name_H-M_alt 'P -4 m 2'
_space_group_IT_number 115
loop_
_space_group_symop_operation_xyz
'x,y,z'
'y,-x,-z'
'-x,-y,z'
'-y,x,-z'
'-x,y,z'
'-y,-x,-z'
'x,-y,z'
'y,x,-z'
loop_
_atom_site_label
_atom_site_type_symbol
_atom_site_fract_x
_atom_site_fract_y
_atom_site_fract_z
Ba1 Ba 0.000 0.500 0.243
Mg1 Mg 0.000 0.000 0.500
Tl1 Tl 0.000 0.500 0.863
Tl2 Tl 0.500 0.500 0.500
Hg1 Hg 0.000 0.000 0.000
Hg2 Hg 0.000 0.500 0.628
Hg3 Hg 0.500 0.500 0.000
```



Entry 2:
KLiUO3: optimized geometry, PBE.

Summary:
E_form (uncorrected): -2.431 eV/atom

Cell and atoms, written as CIF:
```
data_KLiUO3
_chemical_formula_sum 'K2 Li2 U2 O6'
_cell_length_a 7.500
_cell_length_b 3.537
_cell_length_c 7.784
_cell_angle_alpha 90.00
_cell_angle_beta 106.23
_cell_angle_gamma 90.00
_space_group_name_H-M_alt 'P 1 21/m 1'
_space_group_IT_number 11
loop_
_space_group_symop_operation_xyz
'x,y,z'
'-x,-y,-z'
'-x,y+1/2,-z'
'x,-y+1/2,z'
loop_
_atom_site_label
_atom_site_type_symbol
_atom_site_fract_x
_atom_site_fract_y
_atom_site_fract_z
K1 K 0.247 0.250 0.290
Li1 Li 0.096 0.750 0.570
U1 U 0.339 0.250 0.829
O1 O 0.052 0.250 0.675
O2 O 0.344 0.750 0.027
O3 O 0.366 0.750 0.659
```



no.,electronic total energy (eV/atom)
1,-1.67
2,-7.29